Below is NaMnP2H10NO10 after structural relaxation, with properties calculated at the PBE+U level.

Lattice parameters (Å, degrees): 9.716 9.716 5.641 82.82 82.82 116.63
Site moments in Bohr magnetons follow the coordinates.
Positions (direct):
Na (0.780, 0.897, 0.344)  0.00
Na (0.897, 0.780, 0.844)  0.00
Mn (0.551, 0.064, 0.128)  4.67
Mn (0.064, 0.551, 0.628)  4.67
P (0.284, 0.708, 0.048)  0.01
P (0.144, 0.886, 0.256)  0.01
P (0.708, 0.284, 0.548)  0.01
P (0.886, 0.144, 0.756)  0.01
H (0.097, 0.141, 0.177)  0.00
H (0.141, 0.097, 0.677)  0.00
H (0.110, 0.306, 0.009)  0.00
H (0.099, 0.288, 0.315)  0.00
H (0.306, 0.110, 0.509)  0.00
H (0.266, 0.316, 0.135)  0.00
H (0.288, 0.099, 0.815)  0.00
H (0.316, 0.266, 0.635)  0.00
H (0.518, 0.348, 0.226)  0.00
H (0.348, 0.518, 0.726)  0.00
H (0.376, 0.522, 0.452)  0.00
H (0.522, 0.376, 0.952)  0.00
H (0.588, 0.610, 0.083)  0.00
H (0.427, 0.779, 0.430)  0.00
H (0.610, 0.588, 0.583)  0.00
H (0.880, 0.492, 0.127)  0.00
H (0.589, 0.773, 0.009)  0.00
H (0.779, 0.427, 0.930)  0.00
H (0.492, 0.880, 0.627)  0.00
H (0.773, 0.589, 0.509)  0.00
N (0.143, 0.264, 0.159)  0.00
N (0.264, 0.143, 0.659)  0.00
O (0.310, 0.027, 0.220)  0.01
O (0.027, 0.310, 0.720)  0.01
O (0.783, 0.086, 0.012)  0.01
O (0.481, 0.399, 0.103)  0.00
O (0.598, 0.236, 0.367)  0.02
O (0.158, 0.776, 0.064)  0.00
O (0.267, 0.623, 0.308)  0.01
O (0.086, 0.783, 0.512)  0.01
O (0.031, 0.939, 0.164)  0.00
O (0.399, 0.481, 0.603)  0.00
O (0.236, 0.598, 0.867)  0.02
O (0.776, 0.158, 0.564)  0.00
O (0.623, 0.267, 0.808)  0.01
O (0.939, 0.031, 0.664)  0.00
O (0.650, 0.724, 0.076)  0.00
O (0.850, 0.449, 0.451)  0.02
O (0.515, 0.876, 0.452)  0.01
O (0.724, 0.650, 0.576)  0.00
O (0.449, 0.850, 0.951)  0.02
O (0.876, 0.515, 0.952)  0.01

Output
- space-group type = Cc (9)
- density of states at the Fermi level (states/eV/f.u.) = 0.0
- E_tot (eV per atom) = -5.887